VASP calculation (PBE-GGA) on an optimized crystal structure of K2TaPb.

**Fermi-level density of states**: 2.28 states/eV per cell
**Energy relative to the elements**: 922 meV per atom
**Space-group type**: No. 139

Structure (POSCAR):
```
K2TaPb
1.0
6.814 0.001 0.000
4.010 5.510 0.000
-5.412 -2.755 3.091
K Pb Ta
2 1 1
direct
0.000 0.000 0.000
0.500 0.500 0.000
0.250 0.750 0.500
0.750 0.250 0.500
```



VASP calculation (PBE-GGA) on an optimized crystal structure of K2TaPb.

**Fermi-level density of states**: 2.75 states/eV per cell
**Energy relative to the elements**: 928 meV per atom
**Space-group type**: No. 65

Structure (POSCAR):
```
K2TaPb
1.0
6.848 0.003 0.000
-4.158 5.441 0.000
0.000 0.000 3.202
K Pb Ta
2 1 1
direct
0.000 0.000 0.000
0.500 0.500 0.000
0.500 0.000 0.500
0.000 0.500 0.500
```



VASP calculation (PBE-GGA) on an optimized crystal structure of KTa2Pb.

**Fermi-level density of states**: 3.89 states/eV per cell
**Energy relative to the elements**: 1181 meV per atom
**Space-group type**: No. 119

Structure (POSCAR):
```
KTa2Pb
1.0
5.048 -0.027 0.000
0.014 5.048 0.000
-2.531 -2.511 3.574
K Pb Ta
1 1 2
direct
0.500 0.500 0.000
0.750 0.250 0.500
0.000 0.000 0.000
0.250 0.750 0.500
```



VASP calculation (PBE-GGA) on an optimized crystal structure of KTa2Pb.

**Fermi-level density of states**: 3.43 states/eV per cell
**Energy relative to the elements**: 505 meV per atom
**Space-group type**: No. 35

Structure (POSCAR):
```
KTa2Pb
1.0
3.115 -0.012 0.000
-1.046 2.934 0.000
0.000 0.000 10.782
K Pb Ta
1 1 2
direct
0.000 0.000 0.500
0.500 0.500 0.786
0.000 0.000 0.012
0.500 0.500 0.202
```



VASP calculation (PBE-GGA) on an optimized crystal structure of KTa2Pb.

**Fermi-level density of states**: 4.82 states/eV per cell
**Energy relative to the elements**: 1290 meV per atom
**Space-group type**: No. 65

Structure (POSCAR):
```
KTa2Pb
1.0
-3.486 -1.340 4.943
6.187 -0.023 0.312
-0.027 2.819 0.745
K Pb Ta
1 1 2
direct
0.500 0.000 0.500
0.000 0.500 0.500
0.000 0.000 0.000
0.500 0.500 0.000
```



VASP calculation (PBE-GGA) on an optimized crystal structure of KTa2Pb.

**Fermi-level density of states**: 4.60 states/eV per cell
**Energy relative to the elements**: 1126 meV per atom
**Space-group type**: No. 123

Structure (POSCAR):
```
KTa2Pb
1.0
3.857 0.000 0.000
0.000 3.857 0.000
0.000 0.000 7.814
K Pb Ta
1 1 2
direct
0.500 0.500 0.250
0.500 0.500 0.750
0.000 0.000 0.903
0.000 0.000 0.597
```



VASP calculation (PBE-GGA) on an optimized crystal structure of KTaPb2.

**Fermi-level density of states**: 2.60 states/eV per cell
**Energy relative to the elements**: 850 meV per atom
**Space-group type**: No. 119

Structure (POSCAR):
```
KTaPb2
1.0
-0.730 -4.784 3.819
-2.537 -5.155 -2.234
4.504 3.900 -1.584
K Pb Ta
1 2 1
direct
0.750 0.250 0.500
0.000 0.000 0.000
0.250 0.750 0.500
0.500 0.500 0.000
```



VASP calculation (PBE-GGA) on an optimized crystal structure of K2TaPb.

**Fermi-level density of states**: 3.13 states/eV per cell
**Energy relative to the elements**: 1008 meV per atom
**Space-group type**: No. 119

Structure (POSCAR):
```
K2TaPb
1.0
5.574 -0.005 0.000
0.022 5.574 0.000
-2.798 -2.784 3.936
K Pb Ta
2 1 1
direct
0.000 0.000 0.000
0.250 0.750 0.500
0.500 0.500 0.000
0.750 0.250 0.500
```



VASP calculation (PBE-GGA) on an optimized crystal structure of K2TaTcPb.

**Fermi-level density of states**: 5.60 states/eV per cell
**Energy relative to the elements**: 1312 meV per atom
**Space-group type**: No. 123

Structure (POSCAR):
```
K2TaTcPb
1.0
6.369 0.000 0.000
0.000 4.535 0.000
0.000 0.000 6.369
Pb K Tc Ta
1 2 1 1
direct
0.500 0.500 0.500
0.000 0.000 0.500
0.500 0.000 0.000
0.000 0.000 0.000
0.000 0.500 0.000
```



VASP calculation (PBE-GGA) on an optimized crystal structure of KTaZnPb2.

**Fermi-level density of states**: 2.62 states/eV per cell
**Energy relative to the elements**: 313 meV per atom
**Space-group type**: No. 123

Structure (POSCAR):
```
KTaZnPb2
1.0
5.509 0.000 0.000
0.000 5.329 0.000
0.000 0.000 5.509
Pb Zn K Ta
2 1 1 1
direct
0.000 0.000 0.500
0.500 0.000 0.000
0.000 0.500 0.000
0.500 0.500 0.500
0.000 0.000 0.000
```



VASP calculation (PBE-GGA) on an optimized crystal structure of KTbPb2.

**Fermi-level density of states**: 2.51 states/eV per cell
**Energy relative to the elements**: -311 meV per atom
**Space-group type**: No. 123

Structure (POSCAR):
```
KTbPb2
1.0
-2.719 2.189 2.203
-3.045 -1.305 -2.462
-1.191 -6.343 4.834
Pb K Tb
2 1 1
direct
0.000 0.000 0.803
0.000 0.000 0.197
0.500 0.500 0.500
0.500 0.500 0.000
```



VASP calculation (PBE-GGA) on an optimized crystal structure of KTbPb2.

**Fermi-level density of states**: 2.21 states/eV per cell
**Energy relative to the elements**: -186 meV per atom
**Space-group type**: No. 123

Structure (POSCAR):
```
KTbPb2
1.0
3.701 0.000 0.000
0.000 5.826 0.000
0.000 0.000 5.826
Pb K Tb
2 1 1
direct
0.000 0.000 0.500
0.000 0.500 0.000
0.500 0.500 0.500
0.500 0.000 0.000
```



VASP calculation (PBE-GGA) on an optimized crystal structure of KTbPb2.

**Fermi-level density of states**: 2.11 states/eV per cell
**Energy relative to the elements**: -195 meV per atom
**Space-group type**: No. 166

Structure (POSCAR):
```
KTbPb2
1.0
-3.398 0.756 1.473
-2.643 -2.699 0.138
1.572 -3.657 10.353
Pb K Tb
2 1 1
direct
0.744 0.744 0.768
0.256 0.256 0.232
0.500 0.500 0.500
0.000 0.000 0.000
```



VASP calculation (PBE-GGA) on an optimized crystal structure of KTbPb.

**Fermi-level density of states**: 0.08 states/eV per cell
**Energy relative to the elements**: -255 meV per atom
**Space-group type**: No. 129

Structure (POSCAR):
```
KTbPb
1.0
-3.906 3.798 -0.752
-3.872 -3.841 0.707
-0.055 1.533 8.025
K Pb Tb
2 2 2
direct
0.000 0.500 0.870
0.500 0.000 0.130
0.000 0.500 0.313
0.500 0.000 0.687
0.500 0.500 0.500
0.000 0.000 0.500
```



VASP calculation (PBE-GGA) on an optimized crystal structure of KTbTe3Pb.

**Total DFT energy (no corrections)**: -4.13 eV per atom
**Space-group type**: No. 11

Structure (POSCAR):
```
KTbTe3Pb
1.0
-2.648 -3.627 0.260
2.551 -1.198 9.272
-8.869 6.524 0.673
K Tb Te Pb
2 2 6 2
direct
0.250 0.175 0.204
0.750 0.825 0.796
0.250 0.637 0.154
0.750 0.363 0.846
0.750 0.872 0.174
0.250 0.128 0.826
0.250 0.650 0.441
0.750 0.350 0.559
0.750 0.416 0.133
0.250 0.584 0.867
0.250 0.140 0.556
0.750 0.860 0.444
```



VASP calculation (PBE-GGA) on an optimized crystal structure of KTb2Te6Pb3.

**Total DFT energy (no corrections)**: -4.18 eV per atom
**Fermi-level density of states**: 4.52 states/eV per cell
**Space-group type**: No. 12

Structure (POSCAR):
```
KTb2Te6Pb3
1.0
4.486 0.000 0.000
0.000 9.512 0.374
-2.243 -2.706 9.637
K Tb Te Pb
1 2 6 3
direct
0.500 0.000 0.000
0.831 0.653 0.663
0.169 0.347 0.337
0.321 0.882 0.641
0.670 0.581 0.340
0.679 0.118 0.359
0.012 0.268 0.023
0.988 0.732 0.977
0.330 0.419 0.660
0.500 0.500 0.000
0.843 0.151 0.687
0.157 0.849 0.313
```



VASP calculation (PBE-GGA) on an optimized crystal structure of KTcPb.

**Fermi-level density of states**: 2.81 states/eV per cell
**Energy relative to the elements**: 730 meV per atom
**Space-group type**: No. 44

Structure (POSCAR):
```
KTcPb
1.0
-4.988 1.675 -4.483
-6.821 -1.106 -0.201
5.776 2.348 2.986
K Pb Tc
1 1 1
direct
0.001 0.001 0.000
0.735 0.735 0.000
0.264 0.264 0.000
```



VASP calculation (PBE-GGA) on an optimized crystal structure of K4TcPb.

**Fermi-level density of states**: 6.80 states/eV per cell
**Energy relative to the elements**: 1001 meV per atom
**Space-group type**: No. 216

Structure (POSCAR):
```
K4TcPb
1.0
-6.326 1.683 2.326
-2.691 6.236 -1.459
-5.307 0.538 -4.450
K Tc Pb
4 1 1
direct
0.874 0.375 0.375
0.375 0.375 0.874
0.375 0.874 0.375
0.375 0.375 0.375
0.000 0.000 0.000
0.750 0.750 0.750
```



VASP calculation (PBE-GGA) on an optimized crystal structure of KTcPb.

**Fermi-level density of states**: 2.21 states/eV per cell
**Energy relative to the elements**: 850 meV per atom
**Space-group type**: No. 107

Structure (POSCAR):
```
KTcPb
1.0
7.886 0.018 0.000
6.570 4.362 0.000
-7.228 -2.190 2.270
K Pb Tc
1 1 1
direct
0.006 0.006 0.000
0.308 0.308 0.000
0.686 0.686 0.000
```



VASP calculation (PBE-GGA) on an optimized crystal structure of KTcPb.

**Fermi-level density of states**: 2.98 states/eV per cell
**Energy relative to the elements**: 1746 meV per atom
**Space-group type**: No. 216

Structure (POSCAR):
```
KTcPb
1.0
-0.876 -1.233 5.020
3.972 -0.038 3.422
0.307 3.701 3.701
K Pb Tc
1 1 1
direct
0.750 0.750 0.750
0.000 0.000 0.000
0.500 0.500 0.500
```



VASP calculation (PBE-GGA) on an optimized crystal structure of KTcPb.

**Fermi-level density of states**: 1.46 states/eV per cell
**Energy relative to the elements**: 882 meV per atom
**Space-group type**: No. 156

Structure (POSCAR):
```
KTcPb
1.0
3.296 0.000 0.000
-1.648 2.855 0.000
0.000 0.000 8.011
K Pb Tc
1 1 1
direct
0.000 0.000 0.985
0.667 0.333 0.378
0.333 0.667 0.637
```



VASP calculation (PBE-GGA) on an optimized crystal structure of KTcPb.

**Fermi-level density of states**: 6.11 states/eV per cell
**Energy relative to the elements**: 1183 meV per atom
**Space-group type**: No. 216

Structure (POSCAR):
```
KTcPb
1.0
-4.764 -1.485 -0.587
-1.176 -4.871 0.365
-2.618 -1.663 3.953
K Pb Tc
1 1 1
direct
0.000 0.000 0.000
0.500 0.500 0.500
0.750 0.750 0.750
```



VASP calculation (PBE-GGA) on an optimized crystal structure of KTcPb.

**Fermi-level density of states**: 2.50 states/eV per cell
**Energy relative to the elements**: 863 meV per atom
**Space-group type**: No. 42

Structure (POSCAR):
```
KTcPb
1.0
-5.981 0.379 5.617
-6.319 -2.480 4.362
1.490 -0.540 2.712
K Pb Tc
1 1 1
direct
0.008 0.008 0.992
0.310 0.310 0.690
0.682 0.682 0.318
```



VASP calculation (PBE-GGA) on an optimized crystal structure of KTcPb4.

**Fermi-level density of states**: 4.31 states/eV per cell
**Energy relative to the elements**: 660 meV per atom
**Space-group type**: No. 216

Structure (POSCAR):
```
KTcPb4
1.0
3.532 -1.083 5.325
-1.160 3.388 5.403
-2.685 -2.906 5.134
K Tc Pb
1 1 4
direct
0.000 0.000 0.000
0.750 0.750 0.750
0.872 0.376 0.376
0.376 0.376 0.872
0.376 0.872 0.376
0.376 0.376 0.376
```



VASP calculation (PBE-GGA) on an optimized crystal structure of KTcPb.

**Fermi-level density of states**: 3.19 states/eV per cell
**Energy relative to the elements**: 994 meV per atom
**Space-group type**: No. 156

Structure (POSCAR):
```
KTcPb
1.0
5.253 0.000 0.000
-2.627 4.550 0.000
0.000 0.000 3.261
K Pb Tc
1 1 1
direct
0.000 0.000 0.000
0.333 0.667 0.499
0.667 0.333 0.502
```



VASP calculation (PBE-GGA) on an optimized crystal structure of KV2TcPb.

**Fermi-level density of states**: 4.99 states/eV per cell
**Energy relative to the elements**: 839 meV per atom
**Space-group type**: No. 123

Structure (POSCAR):
```
KV2TcPb
1.0
-2.101 3.108 3.137
-3.463 1.453 -3.759
-3.056 -3.531 1.451
Pb K Tc V
1 1 1 2
direct
0.000 0.500 0.000
0.500 0.500 0.500
0.000 0.000 0.000
0.000 0.000 0.500
0.500 0.000 0.000
```



VASP calculation (PBE-GGA) on an optimized crystal structure of K2TePb.

**Total DFT energy (no corrections)**: -2.60 eV per atom
**Fermi-level density of states**: 2.90 states/eV per cell
**Space-group type**: No. 119

Structure (POSCAR):
```
K2TePb
1.0
6.718 -0.007 0.000
2.834 6.091 0.000
-4.776 -3.042 3.615
K Pb Te
2 1 1
direct
0.000 0.000 0.000
0.250 0.750 0.500
0.500 0.500 0.000
0.750 0.250 0.500
```



VASP calculation (PBE-GGA) on an optimized crystal structure of KTePb2.

**Total DFT energy (no corrections)**: -2.98 eV per atom
**Fermi-level density of states**: 4.19 states/eV per cell
**Space-group type**: No. 166

Structure (POSCAR):
```
KTePb2
1.0
-0.490 10.281 -0.082
-2.184 9.305 -3.821
-4.566 9.219 -0.339
K Pb Te
1 2 1
direct
0.750 0.750 0.750
0.985 0.985 0.985
0.515 0.515 0.515
0.250 0.250 0.250
```



VASP calculation (PBE-GGA) on an optimized crystal structure of KTePb2.

**Total DFT energy (no corrections)**: -3.25 eV per atom
**Fermi-level density of states**: 1.08 states/eV per cell
**Space-group type**: No. 6

Structure (POSCAR):
```
KTePb2
1.0
-0.008 -0.566 4.119
-3.643 -3.844 -0.536
2.882 -6.399 -0.874
K Pb Te
1 2 1
direct
0.500 0.741 0.653
0.000 0.025 0.060
0.500 0.455 0.205
0.000 0.279 0.582
```



VASP calculation (PBE-GGA) on an optimized crystal structure of K2TePb.

**Total DFT energy (no corrections)**: -2.74 eV per atom
**Fermi-level density of states**: 2.47 states/eV per cell
**Space-group type**: No. 6

Structure (POSCAR):
```
K2TePb
1.0
-4.885 0.144 1.987
-0.741 -4.809 -1.474
1.845 -4.436 4.857
K Pb Te
2 1 1
direct
0.000 0.987 0.904
0.500 0.265 0.343
0.000 0.688 0.496
0.500 0.560 0.757
```